# Co2OsAu

Co2OsAu at its PBEsol-relaxed geometry (meta-GGA SCAN, the Alexandria database).

## Properties
energy above the most stable polymorph in this dataset: 2 meV/atom
E: -43.60 eV per atom
energy of formation: 120.3 kJ/mol of formula units

a b c (Å): 2.653 2.653 7.247
angles (deg): 90.00 90.00 90.00
Space group P4/mmm (No. 123)
One atom of each set of equivalent atoms:
Co 0.000 0.000 0.230 (multiplicity 2)
Os 0.500 0.500 0.000 (multiplicity 1)
Au 0.500 0.500 0.500 (multiplicity 1)



# CoPOsAu2

CoPOsAu2 at its PBEsol-relaxed geometry (meta-GGA SCAN, the Alexandria database).

## Properties
E: -45.86 eV per atom
energy of formation: 829.2 kJ/mol of formula units

a b c (Å): 4.940 4.940 4.294
angles (deg): 90.00 90.00 90.00
Space group P4/mmm (No. 123)
One atom of each set of equivalent atoms:
Co 0.000 0.000 0.000 (multiplicity 1)
P 0.500 0.500 0.000 (multiplicity 1)
Os 0.000 0.000 0.500 (multiplicity 1)
Au 0.000 0.500 0.500 (multiplicity 2)



# CoP2Au

CoP2Au at its PBEsol-relaxed geometry (meta-GGA SCAN, the Alexandria database).

## Properties
energy above the most stable polymorph in this dataset: 335 meV/atom
E: -26.26 eV per atom
energy of formation: 213.7 kJ/mol of formula units

a b c (Å): 4.026 4.026 6.729
angles (deg): 90.00 90.00 90.00
Space group I4/mmm (No. 139)
One atom of each set of equivalent atoms:
Co 0.000 0.000 0.000 (multiplicity 2)
P 0.000 0.500 0.250 (multiplicity 4)
Au 0.000 0.000 0.500 (multiplicity 2)



# CoPAu2

CoPAu2 at its PBEsol-relaxed geometry (meta-GGA SCAN, the Alexandria database).

## Properties
energy above the most stable polymorph in this dataset: 0 meV/atom
E: -41.45 eV per atom
energy of formation: 19.3 kJ/mol of formula units

a b c (Å): 12.818 2.711 3.497
angles (deg): 90.00 97.00 90.00
Space group C2/m (No. 12)
One atom of each set of equivalent atoms:
Co 0.000 0.000 0.000 (multiplicity 2)
P 0.000 0.500 0.500 (multiplicity 2)
Au 0.178 0.500 0.221 (multiplicity 4)



# CoP2Au

CoP2Au at its PBEsol-relaxed geometry (meta-GGA SCAN, the Alexandria database).

## Properties
energy above the most stable polymorph in this dataset: 517 meV/atom
E: -26.08 eV per atom
energy of formation: 284.0 kJ/mol of formula units

a b c (Å): 6.069 6.069 6.069
angles (deg): 90.00 90.00 90.00
Space group F-43m (No. 216)
One atom of each set of equivalent atoms:
Co 0.000 0.000 0.000 (multiplicity 4)
P 0.000 0.000 0.500 (multiplicity 4)
P 0.250 0.250 0.750 (multiplicity 4)
Au 0.250 0.250 0.250 (multiplicity 4)



# CoP2Au

CoP2Au at its PBEsol-relaxed geometry (meta-GGA SCAN, the Alexandria database).

## Properties
energy above the most stable polymorph in this dataset: 0 meV/atom
E: -26.60 eV per atom
energy of formation: 84.3 kJ/mol of formula units

a b c (Å): 3.1031 3.1031 19.9547
angles (deg): 90.00 90.00 120.00
Space group R3m (No. 160, hexagonal axes)
One atom of each set of equivalent atoms:
Co 0.0000 0.0000 0.0000 (multiplicity 3)
P 0.0000 0.0000 0.2723 (multiplicity 3)
P 0.0000 0.0000 0.5218 (multiplicity 3)
Au 0.0000 0.0000 0.7685 (multiplicity 3)